(1)
Compound: CdFe
Source: Alexandria via LeMat-Bulk
Functional: PBE-GGA
Structure: optimized geometry

Structure (POSCAR):
```
CdFe
1.0
-1.194 6.877 2.187
-7.171 -0.881 -1.143
-0.811 -2.331 6.886
Fe Cd
6 6
direct
0.500 0.750 0.000 Fe
0.250 0.000 0.500 Fe
0.000 0.500 0.750 Fe
0.750 0.000 0.500 Fe
0.500 0.250 0.000 Fe
0.000 0.500 0.250 Fe
0.500 0.000 0.250 Cd
0.250 0.500 0.000 Cd
0.500 0.000 0.750 Cd
0.000 0.250 0.500 Cd
0.000 0.750 0.500 Cd
0.750 0.500 0.000 Cd
```

Calculated values
Its space group is Pm-3n, No. 223. The value obtained for the total magnetic moment is 2.77 μB/f.u. The value obtained for the formation energy from the elements is 1519 meV/atom. Its final energy is -38.04 eV for the cell shown.

(2)
Compound: KPm2RhO4
Source: Alexandria via LeMat-Bulk
Functional: PBE-GGA
Structure: optimized geometry

Structure (POSCAR):
```
KPm2RhO4
1.0
5.326 0.372 0.536
-2.238 4.847 -0.536
-2.238 -2.199 4.353
O K Pm Rh
4 1 2 1
direct
0.467 0.736 0.736 O
0.533 0.269 0.269 O
0.000 0.731 0.264 O
0.000 0.264 0.731 O
0.000 0.000 0.000 K
0.500 0.250 0.750 Pm
0.500 0.750 0.250 Pm
0.000 0.500 0.500 Rh
```

Calculated values
Its space group is I-42m, No. 121. The value obtained for the total magnetic moment is 0.04 μB/f.u. The uncorrected formation energy is -1.892 eV/atom. Its final energy is -52.92 eV for the cell shown.

(3)
Compound: RbTi2H
Source: Alexandria via LeMat-Bulk
Functional: PBE-GGA
Structure: optimized geometry

Structure (POSCAR):
```
RbTi2H
1.0
0.000 3.359 3.359
3.359 0.000 3.359
3.359 3.359 0.000
Ti H Rb
2 1 1
direct
0.750 0.750 0.750 Ti
0.250 0.250 0.250 Ti
0.000 0.000 0.000 H
0.500 0.500 0.500 Rb
```

Calculated values
Its space group is Fm-3m, No. 225. The value obtained for the energy above the lowest structure with this stoichiometry is 1.186 eV/atom. The value obtained for the total magnetic moment is 2.07 μB/f.u. Its final energy is -12.58 eV for the cell shown.